i:
VASP calculation (GGA-PBE) on a geometry-optimized Er3Tm6Mg structure.

Volume: 30.1 A^3/atom
Fermi-level density of states: 25.36 states/eV per cell
Mass density: 8.506 g cm⁻³

Unit cell a=8.7501 b=8.8038 c=8.8038 alpha=117.58 beta=90.00 gamma=90.00
Fractional coordinates of all 20 atoms:
Tm (0.5987, 0.1759, 0.2976)
Tm (0.0987, 0.8241, 0.7024)
Tm (0.1692, 0.7156, 0.2844)
Tm (0.0987, 0.2976, 0.1759)
Tm (0.2696, 0.1769, 0.4763)
Tm (0.2696, 0.5237, 0.8231)
Tm (0.7838, 0.0587, 0.9413)
Tm (0.7696, 0.8231, 0.5237)
Tm (0.2838, 0.9413, 0.0587)
Tm (0.5987, 0.7024, 0.8241)
Tm (0.7696, 0.4763, 0.1769)
Tm (0.6692, 0.2844, 0.7156)
Er (0.9283, 0.6751, 0.9687)
Er (0.9084, 0.4560, 0.5440)
Er (0.9283, 0.0313, 0.3249)
Er (0.4283, 0.3249, 0.0313)
Er (0.4283, 0.9687, 0.6751)
Er (0.4084, 0.5440, 0.4560)
Mg (0.5309, 0.7775, 0.2225)
Mg (0.0309, 0.2225, 0.7775)

***

ii:
VASP calculation (GGA-PBE) on a geometry-optimized Er3Tm6Mg structure.

Volume: 29.6 A^3/atom
Fermi-level density of states: 26.79 states/eV per cell
Mass density: 8.635 g cm⁻³

Unit cell a=3.4823 b=11.5606 c=15.0237 alpha=78.28 beta=90.00 gamma=90.00
Fractional coordinates of all 20 atoms:
Tm (0.7500, 0.1482, 0.6970)
Tm (0.7500, 0.7522, 0.5034)
Tm (0.7500, 0.5504, 0.8996)
Tm (0.7500, 0.8498, 0.7918)
Tm (0.7500, 0.3580, 0.2993)
Tm (0.7500, 0.9523, 0.1030)
Tm (0.2500, 0.2478, 0.4966)
Tm (0.2500, 0.4496, 0.1004)
Tm (0.2500, 0.0477, 0.8970)
Tm (0.2500, 0.8518, 0.3030)
Tm (0.2500, 0.6420, 0.7007)
Tm (0.2500, 0.1502, 0.2082)
Er (0.7500, 0.6531, 0.1994)
Er (0.2500, 0.7532, 0.9964)
Er (0.2500, 0.3469, 0.8006)
Er (0.7500, 0.4466, 0.5984)
Er (0.2500, 0.5534, 0.4016)
Er (0.7500, 0.2468, 0.0036)
Mg (0.2500, 0.9536, 0.5939)
Mg (0.7500, 0.0464, 0.4061)

***

Which is most stable? The ranking, best first, is ii, i.

***

i:
VASP calculation (GGA-PBE) on a geometry-optimized ErTm2Mg2 structure.

Volume: 27.3 A^3/atom
Fermi-level density of states: 10.63 states/eV per cell
Mass density: 6.742 g cm⁻³

Unit cell a=3.6705 b=5.3786 c=13.9362 alpha=90.00 beta=97.55 gamma=90.00
Fractional coordinates of all 10 atoms:
Tm (0.7627, 0.2500, 0.5249)
Tm (0.0437, 0.7500, 0.0875)
Tm (0.9563, 0.2500, 0.9125)
Tm (0.2373, 0.7500, 0.4751)
Mg (0.3605, 0.2500, 0.7199)
Mg (0.5540, 0.2500, 0.1083)
Mg (0.6395, 0.7500, 0.2801)
Mg (0.4460, 0.7500, 0.8917)
Er (0.8475, 0.7500, 0.6944)
Er (0.1525, 0.2500, 0.3056)

***

ii:
VASP calculation (GGA-PBE) on a geometry-optimized ErTm2Mg2 structure.

Volume: 28.4 A^3/atom
Fermi-level density of states: 11.59 states/eV per cell
Mass density: 6.475 g cm⁻³

Unit cell a=3.3960 b=5.9039 c=14.7896 alpha=90.00 beta=90.00 gamma=106.71
Fractional coordinates of all 10 atoms:
Mg (0.8106, 0.6211, 0.6971)
Mg (0.8887, 0.7775, 0.3066)
Mg (0.1113, 0.2225, 0.8066)
Mg (0.1894, 0.3789, 0.1971)
Tm (0.3843, 0.7686, 0.8920)
Tm (0.6157, 0.2314, 0.3920)
Tm (0.9291, 0.8582, 0.0904)
Tm (0.0709, 0.1418, 0.5904)
Er (0.6600, 0.3200, 0.9993)
Er (0.3400, 0.6800, 0.4993)

***

Which is most stable? The ranking, best first, is i, ii.